VASP calculation (PBE) on a relaxed structure of PmYCuPt.

Cell lengths 4.4704, 3.8445, 10.7045 Å; angles 90.00, 90.00, 90.00 degrees
Positions (direct):
Pm: 0.0000 0.0000 0.0000
Pm: 0.0000 0.5000 0.5000
Y: 0.5000 0.0000 0.7225
Y: 0.5000 0.5000 0.2225
Cu: 0.5000 0.0000 0.4361
Cu: 0.5000 0.5000 0.9361
Pt: 0.0000 0.0000 0.2820
Pt: 0.0000 0.5000 0.7820

Results
**Energy of formation from the pure elements**: -0.75 eV per atom
**E above lowest polymorph**: 0 meV/atom

***

VASP calculation (PBE) on a relaxed structure of Ti2Al2Cu7Pd.

Cell lengths 3.8257, 3.8257, 11.5615 Å; angles 90.00, 90.00, 92.50 degrees
Positions (direct):
Ti: 0.0000 0.0000 0.1707
Ti: 0.0000 0.0000 0.8293
Al: 0.5000 0.5000 0.2020
Al: 0.5000 0.5000 0.7980
Cu: 0.0000 0.0000 0.5000
Cu: 0.0000 0.5000 0.3438
Cu: 0.0000 0.5000 0.6562
Cu: 0.2870 0.7130 0.0000
Cu: 0.5000 0.0000 0.3438
Cu: 0.5000 0.0000 0.6562
Cu: 0.7130 0.2870 0.0000
Pd: 0.5000 0.5000 0.5000

Results
**Energy of formation from the pure elements**: -0.06 eV per atom

***

VASP calculation (PBE) on a relaxed structure of TmTiRh2.

Cell lengths 6.4864, 6.4864, 6.4864 Å; angles 90.00, 90.00, 90.00 degrees
Positions (direct):
Tm: 0.0000 0.0000 0.0000
Tm: 0.0000 0.5000 0.5000
Tm: 0.5000 0.0000 0.5000
Tm: 0.5000 0.5000 0.0000
Ti: 0.0000 0.0000 0.5000
Ti: 0.0000 0.5000 0.0000
Ti: 0.5000 0.0000 0.0000
Ti: 0.5000 0.5000 0.5000
Rh: 0.2500 0.2500 0.2500
Rh: 0.2500 0.2500 0.7500
Rh: 0.2500 0.7500 0.2500
Rh: 0.2500 0.7500 0.7500
Rh: 0.7500 0.2500 0.2500
Rh: 0.7500 0.2500 0.7500
Rh: 0.7500 0.7500 0.2500
Rh: 0.7500 0.7500 0.7500

Results
**Energy of formation from the pure elements**: -0.77 eV per atom
**E above lowest polymorph**: 54 meV/atom

***

VASP calculation (PBE) on a relaxed structure of YAl2SiTc2.

Cell lengths 4.5052, 4.5052, 5.5602 Å; angles 90.00, 90.00, 90.00 degrees
Positions (direct):
Y: 0.0000 0.0000 0.0000
Al: 0.5000 0.5000 0.2442
Al: 0.5000 0.5000 0.7558
Si: 0.0000 0.0000 0.5000
Tc: 0.0000 0.5000 0.5000
Tc: 0.5000 0.0000 0.5000

Results
**DFT total energy**: -7.00 eV per atom

***

VASP calculation (PBE) on a relaxed structure of NaCaNb.

Cell lengths 5.0180, 5.0176, 14.3786 Å; angles 90.00, 90.02, 90.00 degrees
Positions (direct):
Na: 0.0000 0.0000 0.0000
Na: 0.0010 0.5000 0.8035
Na: 0.5000 0.5000 0.0000
Na: 0.5010 0.0000 0.8035
Ca: 0.0001 0.5000 0.2020
Ca: 0.0006 0.0000 0.4146
Ca: 0.5001 0.0000 0.2020
Ca: 0.5006 0.5000 0.4146
Nb: 0.0009 0.0000 0.6422
Nb: 0.0009 0.5000 0.5693
Nb: 0.5009 0.0000 0.5693
Nb: 0.5009 0.5000 0.6422

Results
**Energy of formation from the pure elements**: 0.29 eV per atom
**E above lowest polymorph**: 107 meV/atom

***

VASP calculation (PBE) on a relaxed structure of Tl4Bi3Te8.

Cell lengths 9.0511, 9.0511, 9.0371 Å; angles 119.60, 119.60, 89.88 degrees
Positions (direct):
Tl: 0.0000 0.0000 0.0000
Tl: 0.0000 0.5000 0.0000
Tl: 0.5000 0.0000 0.0000
Tl: 0.5000 0.5000 0.5000
Bi: 0.0000 0.0000 0.5000
Bi: 0.0000 0.5000 0.5000
Bi: 0.5000 0.0000 0.5000
Te: 0.2384 0.2384 0.9871
Te: 0.2452 0.7548 0.5000
Te: 0.2491 0.7509 0.0000
Te: 0.2499 0.2499 0.5104
Te: 0.7501 0.7501 0.4896
Te: 0.7509 0.2491 0.0000
Te: 0.7548 0.2452 0.5000
Te: 0.7616 0.7616 0.0129

Results
**DFT total energy**: -3.24 eV per atom

***

VASP calculation (PBE) on a relaxed structure of KTe3Ir.

Cell lengths 5.4138, 5.4138, 5.4138 Å; angles 90.00, 90.00, 90.00 degrees
Positions (direct):
K: 0.0000 0.0000 0.0000
Te: 0.0000 0.5000 0.5000
Te: 0.5000 0.0000 0.5000
Te: 0.5000 0.5000 0.0000
Ir: 0.5000 0.5000 0.5000

Results
**DFT total energy**: -3.86 eV per atom

***

VASP calculation (PBE) on a relaxed structure of MgPtRh2.

Cell lengths 3.9162, 3.9162, 7.7999 Å; angles 90.00, 90.00, 90.00 degrees
Positions (direct):
Mg: 0.0000 0.0000 0.0000
Mg: 0.5000 0.5000 0.5000
Pt: 0.0000 0.0000 0.5000
Pt: 0.5000 0.5000 0.0000
Rh: 0.0000 0.5000 0.2500
Rh: 0.0000 0.5000 0.7500
Rh: 0.5000 0.0000 0.2500
Rh: 0.5000 0.0000 0.7500

Results
**Energy of formation from the pure elements**: -0.33 eV per atom

***

VASP calculation (PBE) on a relaxed structure of NbPOsRuSeS.

Cell lengths 3.1131, 5.6751, 6.2893 Å; angles 69.71, 90.00, 74.16 degrees
Positions (direct):
Nb: 0.0000 0.0000 0.0000
P: 0.7134 0.5712 0.0837
Os: 0.4025 0.1971 0.2927
Ru: 0.2451 0.5081 0.8391
Se: 0.0876 0.8240 0.4441
S: 0.4112 0.1787 0.6806

Results
**E above lowest polymorph**: 0 meV/atom

***

VASP calculation (PBE) on a relaxed structure of Sm12Ni6Te.

Cell lengths 8.6421, 8.6421, 8.6421 Å; angles 109.47, 109.47, 109.47 degrees
Positions (direct):
Sm: 0.1215 0.8120 0.3094
Sm: 0.1880 0.3094 0.4974
Sm: 0.1880 0.6906 0.8785
Sm: 0.3094 0.1215 0.8120
Sm: 0.3094 0.4974 0.1880
Sm: 0.4974 0.1880 0.3094
Sm: 0.5026 0.8120 0.6906
Sm: 0.6906 0.5026 0.8120
Sm: 0.6906 0.8785 0.1880
Sm: 0.8120 0.3094 0.1215
Sm: 0.8120 0.6906 0.5026
Sm: 0.8785 0.1880 0.6906
Ni: 0.1222 0.6222 0.5000
Ni: 0.3778 0.5000 0.8778
Ni: 0.5000 0.1222 0.6222
Ni: 0.5000 0.8778 0.3778
Ni: 0.6222 0.5000 0.1222
Ni: 0.8778 0.3778 0.5000
Te: 0.0000 0.0000 0.0000

Results
**DFT total energy**: -5.34 eV per atom

***

VASP calculation (PBE) on a relaxed structure of Cs2Pu2MgSe6.

Cell lengths 7.1687, 7.1687, 8.8504 Å; angles 97.60, 97.60, 119.95 degrees
Positions (direct):
Cs: 0.1649 0.8351 0.0000
Cs: 0.8351 0.1649 0.0000
Pu: 0.3334 0.6666 0.5000
Pu: 0.6666 0.3334 0.5000
Mg: 0.0000 0.0000 0.5000
Se: 0.0582 0.3917 0.6776
Se: 0.2750 0.2750 0.3232
Se: 0.3917 0.0582 0.6776
Se: 0.6083 0.9418 0.3224
Se: 0.7250 0.7250 0.6768
Se: 0.9418 0.6083 0.3224

Results
**DFT total energy**: -6.09 eV per atom

***

VASP calculation (PBE) on a relaxed structure of La6PmEr2Sc.

Cell lengths 6.5641, 6.5641, 9.0351 Å; angles 102.54, 102.54, 68.39 degrees
Positions (direct):
La: 0.0836 0.6368 0.7126
La: 0.3378 0.3378 0.0568
La: 0.3632 0.9164 0.2874
La: 0.6368 0.0836 0.7126
La: 0.6622 0.6622 0.9432
La: 0.9164 0.3632 0.2874
Pm: 0.5000 0.5000 0.5000
Er: 0.1154 0.1154 0.6539
Er: 0.8846 0.8846 0.3461
Sc: 0.0000 0.0000 0.0000

Results
**Energy of formation from the pure elements**: 0.19 eV per atom